(1)
DFT (PBE-GGA) results for crystalline NaMg2O at its relaxed geometry.

The structure in POSCAR format:
```
NaMg2O
1.0
-3.217 3.217 4.549
3.217 -3.217 4.549
3.217 3.217 -4.549
Na Mg O
2 4 2
direct
0.000 0.000 0.000
0.750 0.250 0.500
0.339 0.125 0.714
0.375 0.661 0.786
0.411 0.625 0.286
0.875 0.589 0.214
0.250 0.750 0.500
0.500 0.500 0.000
```

Computed properties:
E_form (uncorrected)	-0.969	eV per atom
total moment	0.00	μB per cell

***

(2)
DFT (PBE-GGA) results for crystalline Zn2Rh2Pb at its relaxed geometry.

The structure in POSCAR format:
```
Zn2Rh2Pb
1.0
7.382 0.000 0.000
0.000 7.382 0.000
0.000 0.000 3.026
Zn Rh Pb
4 4 2
direct
0.124 0.376 0.000
0.376 0.876 0.000
0.624 0.124 0.000
0.876 0.624 0.000
0.169 0.669 0.500
0.331 0.169 0.500
0.669 0.831 0.500
0.831 0.331 0.500
0.000 0.000 0.000
0.500 0.500 0.000
```

Computed properties:
total moment	0.00	μB per cell
energy relative to the elements	-0.10	eV/atom

***

(3)
DFT (PBE-GGA) results for crystalline SrLi2Cd9 at its relaxed geometry.

The structure in POSCAR format:
```
SrLi2Cd9
1.0
9.638 0.000 0.000
-4.819 8.347 0.000
0.000 0.000 3.383
Sr Li Cd
1 2 9
direct
0.000 0.000 0.000
0.333 0.667 0.000
0.667 0.333 0.000
0.000 0.500 0.000
0.185 0.371 0.500
0.185 0.815 0.500
0.371 0.185 0.500
0.500 0.000 0.000
0.500 0.500 0.000
0.629 0.815 0.500
0.815 0.185 0.500
0.815 0.629 0.500
```

Computed properties:
total moment	0.00	μB per cell
energy relative to the elements	-0.15	eV/atom

***

(4)
DFT (PBE-GGA) results for crystalline Pr3DyGa2 at its relaxed geometry.

The structure in POSCAR format:
```
Pr3DyGa2
1.0
5.181 0.000 0.000
0.000 9.761 0.000
0.000 0.000 6.704
Pr Dy Ga
6 2 4
direct
0.000 0.050 0.000
0.000 0.336 0.332
0.000 0.664 0.832
0.000 0.950 0.500
0.500 0.175 0.700
0.500 0.825 0.200
0.500 0.443 0.030
0.500 0.557 0.530
0.000 0.351 0.813
0.000 0.649 0.313
0.500 0.152 0.225
0.500 0.848 0.725
```

Computed properties:
total moment	0.00	μB per cell
energy relative to the elements	-0.39	eV/atom

***

(5)
DFT (PBE-GGA) results for crystalline Zr2TeW at its relaxed geometry.

The structure in POSCAR format:
```
Zr2TeW
1.0
-2.121 2.121 9.963
2.121 -2.121 9.963
2.121 2.121 -9.963
Zr Te W
4 2 2
direct
0.124 0.625 0.000
0.375 0.374 0.500
0.626 0.125 0.000
0.875 0.876 0.500
0.000 0.000 0.000
0.750 0.250 0.500
0.250 0.750 0.500
0.500 0.500 0.000
```

Computed properties:
E_form (uncorrected)	0.578	eV per atom
total moment	0.00	μB per cell

***

(6)
DFT (PBE-GGA) results for crystalline LiTmPb2S4 at its relaxed geometry.

The structure in POSCAR format:
```
LiTmPb2S4
1.0
6.901 0.000 0.000
0.000 4.033 0.000
-2.246 0.000 6.732
Li Tm Pb S
1 1 2 4
direct
0.000 0.000 0.000
0.500 0.500 0.000
0.000 0.500 0.500
0.500 0.000 0.500
0.247 0.500 0.223
0.262 0.000 0.782
0.738 0.000 0.218
0.753 0.500 0.777
```

Computed properties:
E_form (uncorrected)	-1.134	eV per atom
total moment	0.00	μB per cell

***

(7)
DFT (PBE-GGA) results for crystalline TcPRh2 at its relaxed geometry.

The structure in POSCAR format:
```
TcPRh2
1.0
-2.636 2.636 5.583
2.636 -2.636 5.583
2.636 2.636 -5.583
Tc P Rh
2 2 4
direct
0.000 0.000 0.000
0.750 0.250 0.500
0.250 0.750 0.500
0.500 0.500 0.000
0.151 0.625 0.026
0.375 0.401 0.526
0.599 0.125 0.974
0.875 0.849 0.474
```

Computed properties:
total moment	0.00	μB per cell
energy relative to the elements	0.38	eV/atom

***

(8)
DFT (PBE-GGA) results for crystalline RbRh2F2 at its relaxed geometry.

The structure in POSCAR format:
```
RbRh2F2
1.0
8.285 0.000 0.000
0.000 8.285 0.000
0.000 0.000 2.933
Rb Rh F
2 4 4
direct
0.000 0.000 0.000
0.500 0.500 0.000
0.096 0.404 0.000
0.404 0.904 0.000
0.596 0.096 0.000
0.904 0.596 0.000
0.233 0.267 0.500
0.267 0.767 0.500
0.733 0.233 0.500
0.767 0.733 0.500
```

Computed properties:
E_form (uncorrected)	-0.483	eV per atom
total moment	2.44	μB per cell